# 1
Below is an optimized crystal structure of HfZr3Bi4, with properties calculated at the PBE level.

Cell lengths 5.5727, 11.1552, 6.6437 Å; angles 90.00, 90.00, 90.00 degrees
Closest atoms and distances in Å follow each position.
Fractional positions:
Hf 0.2500 0.2500 0.1329  5 Bi 3.05-3.06, 4 Zr 3.33
Hf 0.7500 0.7500 0.8671  5 Bi 3.05-3.06, 4 Zr 3.33
Zr 0.2500 0.9998 0.8607  5 Bi 3.05-3.09, 1 Hf 3.33, 3 Zr 3.35
Zr 0.2500 0.5002 0.8607  5 Bi 3.05-3.09, 1 Hf 3.33, 3 Zr 3.35
Zr 0.2500 0.7500 0.1413  5 Bi 3.05-3.09, 2 Hf 3.33, 2 Zr 3.35
Zr 0.7500 0.0002 0.1393  5 Bi 3.05-3.09, 1 Hf 3.33, 3 Zr 3.35
Zr 0.7500 0.2500 0.8587  5 Bi 3.05-3.09, 2 Hf 3.33, 2 Zr 3.35
Zr 0.7500 0.4998 0.1393  5 Bi 3.05-3.09, 1 Hf 3.33, 3 Zr 3.35
Bi 0.2500 0.0014 0.3257  4 Zr 3.05-3.09, 1 Hf 3.05
Bi 0.2500 0.2500 0.6722  4 Zr 3.05-3.06, 1 Hf 3.06
Bi 0.2500 0.4986 0.3257  4 Zr 3.05-3.09, 1 Hf 3.05
Bi 0.2500 0.7500 0.6756  3 Zr 3.05-3.09, 2 Hf 3.06
Bi 0.7500 0.2500 0.3244  3 Zr 3.05-3.09, 2 Hf 3.06
Bi 0.7500 0.5014 0.6743  4 Zr 3.05-3.09, 1 Hf 3.05
Bi 0.7500 0.7500 0.3278  4 Zr 3.05-3.06, 1 Hf 3.06
Bi 0.7500 0.9986 0.6743  4 Zr 3.05-3.09, 1 Hf 3.05

Computed properties:
E   -6.680 eV/atom
Calculated formation energy   -0.2897 eV/atom


# 2
Below is an optimized crystal structure of Pa3GeN, with properties calculated at the PBE level.

Cell lengths 4.6799, 4.6799, 4.6799 Å; angles 90.00, 90.00, 90.00 degrees
Closest atoms and distances in Å follow each position.
Fractional positions:
Pa 0.0000 0.0000 0.5000  2 N 2.34
Pa 0.0000 0.5000 0.0000  2 N 2.34
Pa 0.5000 0.0000 0.0000  2 N 2.34
Ge 0.5000 0.5000 0.5000  12 Pa 3.31
N 0.0000 0.0000 0.0000  6 Pa 2.34

Computed properties:
E   -9.021 eV/atom
Uncorrected formation energy   -0.735 eV/atom


# 3
Below is an optimized crystal structure of NiAs2Se, with properties calculated at the PBE level.

Cell lengths 4.6525, 4.6525, 3.1419 Å; angles 90.00, 90.00, 90.00 degrees
Closest atoms and distances in Å follow each position.
Fractional positions:
Ni 0.0000 0.0000 0.0000  8 As 2.81, 2 Ni 3.14
As 0.0000 0.5000 0.5000  4 Se 2.81, 4 Ni 2.81, 2 As 3.14
As 0.5000 0.0000 0.5000  4 Se 2.81, 4 Ni 2.81, 2 As 3.14
Se 0.5000 0.5000 0.0000  8 As 2.81, 2 Se 3.14

Computed properties:
E   -4.206 eV/atom
Uncorrected formation energy   0.435 eV/atom


# 4
Below is an optimized crystal structure of Sr3Tl7Sn2, with properties calculated at the PBE level.

Cell lengths 16.8781, 16.8781, 4.5666 Å; angles 90.00, 90.00, 162.34 degrees
Closest atoms and distances in Å follow each position.
Fractional positions:
Sr 0.0000 0.0000 0.0000  12 Tl 3.45-3.67
Sr 0.1745 0.8255 0.0000  4 Sn 3.63, 8 Tl 3.86-3.96
Sr 0.8255 0.1745 0.0000  4 Sn 3.63, 8 Tl 3.86-3.96
Tl 0.0812 0.9188 0.5000  2 Sn 3.27, 4 Tl 3.46, 2 Sr 3.54
Tl 0.2714 0.7286 0.5000  1 Sn 2.93, 2 Tl 2.96
Tl 0.4219 0.5781 0.0000  2 Sn 3.10, 6 Tl 3.46
Tl 0.5000 0.5000 0.5000  4 Sr 3.45, 8 Tl 3.46-3.75
Tl 0.5781 0.4219 0.0000  2 Sn 3.10, 6 Tl 3.46
Tl 0.7286 0.2714 0.5000  1 Sn 2.93, 2 Tl 2.96
Tl 0.9188 0.0812 0.5000  2 Sn 3.27, 4 Tl 3.46, 2 Sr 3.54
Sn 0.3592 0.6408 0.5000  5 Tl 2.93-3.27
Sn 0.6408 0.3592 0.5000  5 Tl 2.93-3.27

Computed properties:
E   -2.710 eV/atom
Calculated formation energy   -0.2416 eV/atom